[1]
PBE-GGA ScCo13, relaxed; density of states at the Fermi level = 1.11 states/eV/atom; energy relative to the elements = 0.0149 eV per atom; space group = No. 226
1.0
0.0000 5.5620 5.5620
5.5620 0.0000 5.5620
5.5620 5.5620 0.0000
Sc Co
2 26
Direct
0.2500 0.2500 0.2500
0.7500 0.7500 0.7500
0.0000 0.0000 0.0000
0.0577 0.2984 0.7016
0.0577 0.7016 0.9423
0.0577 0.9423 0.2984
0.2016 0.4423 0.7984
0.2016 0.5577 0.4423
0.2016 0.7984 0.5577
0.2984 0.0577 0.9423
0.2984 0.7016 0.0577
0.2984 0.9423 0.7016
0.4423 0.2016 0.5577
0.4423 0.5577 0.7984
0.4423 0.7984 0.2016
0.5000 0.5000 0.5000
0.5577 0.2016 0.7984
0.5577 0.4423 0.2016
0.5577 0.7984 0.4423
0.7016 0.0577 0.2984
0.7016 0.2984 0.9423
0.7016 0.9423 0.0577
0.7984 0.2016 0.4423
0.7984 0.4423 0.5577
0.7984 0.5577 0.2016
0.9423 0.0577 0.7016
0.9423 0.2984 0.0577
0.9423 0.7016 0.2984

[2]
PBE-GGA ScCo3, relaxed; density of states at the Fermi level = 1.17 states/eV/atom; energy relative to the elements = 0.0534 eV per atom; space group = No. 166
1.0
4.0866 2.3594 0.8953
-4.0866 2.3594 0.8953
0.0000 -4.7188 0.8953
Sc Co
1 3
Direct
0.0000 0.0000 0.0000
0.0000 0.5000 0.5000
0.5000 0.0000 0.5000
0.5000 0.5000 0.0000

[3]
PBE-GGA Sc3Co5, relaxed; density of states at the Fermi level = 1.01 states/eV/atom; energy relative to the elements = -0.1797 eV per atom; space group = No. 1
1.0
4.9668 0.0000 0.0000
-0.7857 6.8008 0.0000
-0.9320 -1.1585 6.9492
Sc Co
6 10
Direct
0.0000 0.0000 0.0000
0.0823 0.4365 0.1344
0.3642 0.1653 0.4529
0.5047 0.8176 0.1612
0.5995 0.5461 0.7964
0.8657 0.8750 0.5774
0.0252 0.7976 0.2609
0.1327 0.6483 0.8437
0.2288 0.2472 0.7950
0.3219 0.6764 0.4929
0.4276 0.9349 0.7858
0.5465 0.2261 0.0683
0.6386 0.5018 0.3398
0.7533 0.2163 0.7667
0.8302 0.1507 0.3326
0.9918 0.4316 0.5591

[4]
PBE-GGA ScCo5, relaxed; density of states at the Fermi level = 1.23 states/eV/atom; energy relative to the elements = 0.0602 eV per atom; space group = No. 38
1.0
4.0877 0.0000 0.0000
0.0000 1.3284 6.7557
0.0000 -1.3284 6.7557
Sc Co
1 5
Direct
0.0000 0.0000 0.0000
0.0000 0.3258 0.3258
0.0000 0.6779 0.6779
0.5000 0.1287 0.1287
0.5000 0.4395 0.4395
0.5000 0.7872 0.7872

[5]
PBE-GGA Sc3Co4, relaxed; density of states at the Fermi level = 0.99 states/eV/atom; energy relative to the elements = -0.0647 eV per atom; space group = No. 139
1.0
-1.5431 1.5431 11.6071
1.5431 -1.5431 11.6071
1.5431 1.5431 -11.6071
Sc Co
3 4
Direct
0.0000 0.0000 0.0000
0.3075 0.3075 0.0000
0.6925 0.6925 0.0000
0.1221 0.1221 0.0000
0.4281 0.4281 0.0000
0.5719 0.5719 0.0000
0.8779 0.8779 0.0000

[6]
PBE-GGA Sc3Co5, relaxed; density of states at the Fermi level = 1.03 states/eV/atom; energy relative to the elements = -0.1661 eV per atom; space group = No. 65
1.0
3.0905 -4.2447 0.0000
3.0905 4.2447 0.0000
0.0000 0.0000 4.2772
Sc Co
3 5
Direct
0.0000 0.0000 0.0000
0.2672 0.7328 0.5000
0.7328 0.2672 0.5000
0.0000 0.5000 0.0000
0.2472 0.2472 0.5000
0.5000 0.0000 0.0000
0.5000 0.5000 0.0000
0.7528 0.7528 0.5000